# AlTeCl2 | Alexandria via LeMat-Bulk | PBE | optimized geometry
data_AlTeCl2
_cell_length_a 4.462
_cell_length_b 4.462
_cell_length_c 4.548
_cell_angle_alpha 90.00
_cell_angle_beta 90.00
_cell_angle_gamma 90.00
_symmetry_space_group_name_H-M 'P 4/m m m'
_symmetry_Int_Tables_number 123
_symmetry_space_group_name_Hall '-P 4 2'
loop_
_atom_site_label
_atom_site_fract_x
_atom_site_fract_y
_atom_site_fract_z
Al1 0.000 0.000 0.000
Te1 0.500 0.500 0.000
Cl1 0.000 0.500 0.500
# raw total energy	-2.584	eV/atom
# energy relative to the elements, uncorrected	0.06	eV/atom



# AlTeCl2 | Alexandria via LeMat-Bulk | PBE | optimized geometry
data_AlTeCl2
_cell_length_a 7.021
_cell_length_b 7.021
_cell_length_c 7.021
_cell_angle_alpha 90.00
_cell_angle_beta 90.00
_cell_angle_gamma 90.00
_symmetry_space_group_name_H-M 'F -4 3 m'
_symmetry_Int_Tables_number 216
_symmetry_space_group_name_Hall 'F -4 2 3'
loop_
_atom_site_label
_atom_site_fract_x
_atom_site_fract_y
_atom_site_fract_z
Al1 0.000 0.000 0.000
Te1 0.250 0.250 0.750
Cl1 0.000 0.000 0.500
Cl2 0.250 0.250 0.250
# raw total energy	-2.689	eV/atom
# energy relative to the elements, uncorrected	-0.04	eV/atom



# AlTeCl | Alexandria via LeMat-Bulk | PBE | optimized geometry
data_AlTeCl
_cell_length_a 3.121
_cell_length_b 5.737
_cell_length_c 8.377
_cell_angle_alpha 90.00
_cell_angle_beta 90.00
_cell_angle_gamma 90.00
_symmetry_space_group_name_H-M 'I m m 2'
_symmetry_Int_Tables_number 44
_symmetry_space_group_name_Hall 'I 2 -2'
loop_
_atom_site_label
_atom_site_fract_x
_atom_site_fract_y
_atom_site_fract_z
Al1 0.000 0.000 0.000
Te1 0.000 0.000 0.634
Cl1 0.000 0.000 0.266
# raw total energy	-3.022	eV/atom
# energy relative to the elements, uncorrected	-0.11	eV/atom



Repeat the first record exactly.
# AlTeCl2 | Alexandria via LeMat-Bulk | PBE | optimized geometry
data_AlTeCl2
_cell_length_a 4.462
_cell_length_b 4.462
_cell_length_c 4.548
_cell_angle_alpha 90.00
_cell_angle_beta 90.00
_cell_angle_gamma 90.00
_symmetry_space_group_name_H-M 'P 4/m m m'
_symmetry_Int_Tables_number 123
_symmetry_space_group_name_Hall '-P 4 2'
loop_
_atom_site_label
_atom_site_fract_x
_atom_site_fract_y
_atom_site_fract_z
Al1 0.000 0.000 0.000
Te1 0.500 0.500 0.000
Cl1 0.000 0.500 0.500
# raw total energy	-2.584	eV/atom
# energy relative to the elements, uncorrected	0.06	eV/atom



Copy entry 2 word for word.
# AlTeCl2 | Alexandria via LeMat-Bulk | PBE | optimized geometry
data_AlTeCl2
_cell_length_a 7.021
_cell_length_b 7.021
_cell_length_c 7.021
_cell_angle_alpha 90.00
_cell_angle_beta 90.00
_cell_angle_gamma 90.00
_symmetry_space_group_name_H-M 'F -4 3 m'
_symmetry_Int_Tables_number 216
_symmetry_space_group_name_Hall 'F -4 2 3'
loop_
_atom_site_label
_atom_site_fract_x
_atom_site_fract_y
_atom_site_fract_z
Al1 0.000 0.000 0.000
Te1 0.250 0.250 0.750
Cl1 0.000 0.000 0.500
Cl2 0.250 0.250 0.250
# raw total energy	-2.689	eV/atom
# energy relative to the elements, uncorrected	-0.04	eV/atom



- Which value of raw total energy does entry 3 give?
  -3.022 eV/atom



- Which value of raw total energy does entry 3 give?
  -3.022 eV/atom